Entry 1:
# Sr2TiSi3Pt4 (PBE, optimized geometry)
# Space-group type ... P-4m2
# Uncorrected formation energy ... -9.03 eV/f.u.
# Crystal system ... tetragonal
data_Sr2TiSi3Pt4
_chemical_formula_sum 'Sr2 Ti1 Si3 Pt4'
_space_group_name_H-M_alt 'P 1'
_space_group_IT_number 1
_cell_length_a 4.311
_cell_length_b 4.311
_cell_length_c 10.257
_cell_angle_alpha 90.00
_cell_angle_beta 90.00
_cell_angle_gamma 90.00
loop_
_space_group_symop_operation_xyz
'x,y,z'
loop_
_atom_site_label
_atom_site_type_symbol
_atom_site_fract_x
_atom_site_fract_y
_atom_site_fract_z
Pt1 Pt 0.000 0.000 0.000
Pt2 Pt 0.500 0.500 0.000
Pt3 Pt 0.500 0.000 0.637
Pt4 Pt 0.000 0.500 0.363
Sr1 Sr 0.000 0.500 0.755
Sr2 Sr 0.500 0.000 0.245
Si1 Si 0.000 0.000 0.500
Si2 Si 0.000 0.500 0.123
Si3 Si 0.500 0.000 0.877
Ti1 Ti 0.500 0.500 0.500


Entry 2:
# Ac8TlAu2 (PBE, optimized geometry)
# Space-group type ... Cm
# Crystal system ... monoclinic
# Distance to the lowest polymorph of the same formula ... 1.36 kcal/mol of atoms
# Calculated formation energy ... -0.25 eV/atom
data_Ac8TlAu2
_chemical_formula_sum 'Ac8 Tl1 Au2'
_space_group_name_H-M_alt 'P 1'
_space_group_IT_number 1
_cell_length_a 6.201
_cell_length_b 8.892
_cell_length_c 8.892
_cell_angle_alpha 114.58
_cell_angle_beta 98.65
_cell_angle_gamma 98.65
loop_
_space_group_symop_operation_xyz
'x,y,z'
loop_
_atom_site_label
_atom_site_type_symbol
_atom_site_fract_x
_atom_site_fract_y
_atom_site_fract_z
Ac1 Ac 0.587 0.332 0.084
Ac2 Ac 0.000 0.242 0.764
Ac3 Ac 0.413 0.674 0.922
Ac4 Ac 0.192 0.391 0.391
Ac5 Ac 0.413 0.922 0.674
Ac6 Ac 0.000 0.764 0.242
Ac7 Ac 0.587 0.084 0.332
Ac8 Ac 0.808 0.615 0.615
Au1 Au 0.500 0.309 0.697
Au2 Au 0.500 0.697 0.309
Tl1 Tl 0.001 0.003 0.003


Entry 3:
# Ca2TlIn (PBE, optimized geometry)
# Space-group type ... Fm-3m
# Crystal system ... cubic
# Calculated formation energy ... -0.45 eV/atom
data_Ca2TlIn
_chemical_formula_sum 'Ca2 Tl1 In1'
_space_group_name_H-M_alt 'P 1'
_space_group_IT_number 1
_cell_length_a 5.477
_cell_length_b 5.477
_cell_length_c 5.477
_cell_angle_alpha 60.00
_cell_angle_beta 60.00
_cell_angle_gamma 60.00
loop_
_space_group_symop_operation_xyz
'x,y,z'
loop_
_atom_site_label
_atom_site_type_symbol
_atom_site_fract_x
_atom_site_fract_y
_atom_site_fract_z
In1 In 0.250 0.250 0.250
Ca1 Ca 0.500 0.500 0.500
Ca2 Ca 0.000 0.000 0.000
Tl1 Tl 0.750 0.750 0.750


Entry 4:
# Ta3CrCu (PBE, optimized geometry)
# Space-group type ... Pm-3m
# Crystal system ... cubic
# Distance to the lowest polymorph of the same formula ... 0.00 kcal/mol of atoms
# Calculated formation energy ... 1.16 eV/atom
data_Ta3CrCu
_chemical_formula_sum 'Ta3 Cr1 Cu1'
_space_group_name_H-M_alt 'P 1'
_space_group_IT_number 1
_cell_length_a 4.579
_cell_length_b 4.579
_cell_length_c 4.579
_cell_angle_alpha 90.00
_cell_angle_beta 90.00
_cell_angle_gamma 90.00
loop_
_space_group_symop_operation_xyz
'x,y,z'
loop_
_atom_site_label
_atom_site_type_symbol
_atom_site_fract_x
_atom_site_fract_y
_atom_site_fract_z
Cu1 Cu 0.500 0.500 0.500
Ta1 Ta 0.500 0.000 0.000
Ta2 Ta 0.000 0.500 0.000
Ta3 Ta 0.000 0.000 0.500
Cr1 Cr 0.000 0.000 0.000


Entry 5:
# LiThBiAu (PBE, optimized geometry)
# Space-group type ... F-43m
# Crystal system ... cubic
# Calculated formation energy ... -0.48 eV/atom
data_LiThBiAu
_chemical_formula_sum 'Li1 Th1 Bi1 Au1'
_space_group_name_H-M_alt 'P 1'
_space_group_IT_number 1
_cell_length_a 5.226
_cell_length_b 5.226
_cell_length_c 5.226
_cell_angle_alpha 60.00
_cell_angle_beta 60.00
_cell_angle_gamma 60.00
loop_
_space_group_symop_operation_xyz
'x,y,z'
loop_
_atom_site_label
_atom_site_type_symbol
_atom_site_fract_x
_atom_site_fract_y
_atom_site_fract_z
Th1 Th 0.500 0.500 0.500
Au1 Au 0.250 0.250 0.250
Bi1 Bi 0.750 0.750 0.750
Li1 Li 0.000 0.000 0.000


Entry 6:
# P2WSCl (PBE, optimized geometry)
# Space-group type ... P4/mmm
# Uncorrected formation energy ... 3.07 eV/f.u.
# Crystal system ... tetragonal
# Distance to the lowest polymorph of the same formula ... 6.88 kcal/mol of atoms
data_P2WSCl
_chemical_formula_sum 'P2 W1 S1 Cl1'
_space_group_name_H-M_alt 'P 1'
_space_group_IT_number 1
_cell_length_a 4.761
_cell_length_b 4.761
_cell_length_c 4.583
_cell_angle_alpha 90.00
_cell_angle_beta 90.00
_cell_angle_gamma 90.00
loop_
_space_group_symop_operation_xyz
'x,y,z'
loop_
_atom_site_label
_atom_site_type_symbol
_atom_site_fract_x
_atom_site_fract_y
_atom_site_fract_z
S1 S 0.500 0.500 0.500
W1 W 0.000 0.000 0.000
P1 P 0.500 0.000 0.000
P2 P 0.000 0.500 0.000
Cl1 Cl 0.000 0.000 0.500


Entry 7:
# La5Sn2TeN (PBE, optimized geometry)
# Space-group type ... P4/mmm
# Uncorrected formation energy ... -9.37 eV/f.u.
# Crystal system ... tetragonal
data_La5Sn2TeN
_chemical_formula_sum 'La5 Sn2 Te1 N1'
_space_group_name_H-M_alt 'P 1'
_space_group_IT_number 1
_cell_length_a 4.897
_cell_length_b 4.897
_cell_length_c 11.880
_cell_angle_alpha 90.00
_cell_angle_beta 90.00
_cell_angle_gamma 90.00
loop_
_space_group_symop_operation_xyz
'x,y,z'
loop_
_atom_site_label
_atom_site_type_symbol
_atom_site_fract_x
_atom_site_fract_y
_atom_site_fract_z
La1 La 0.000 0.500 0.500
La2 La 0.000 0.000 0.735
La3 La 0.000 0.000 0.265
La4 La 0.500 0.500 0.000
La5 La 0.500 0.000 0.500
Sn1 Sn 0.500 0.500 0.713
Sn2 Sn 0.500 0.500 0.287
Te1 Te 0.000 0.000 0.000
N1 N 0.000 0.000 0.500


Entry 8:
# SmZr2Mn (PBE, optimized geometry)
# Space-group type ... P4/mmm
# Crystal system ... tetragonal
# Distance to the lowest polymorph of the same formula ... 0.00 kcal/mol of atoms
# Calculated formation energy ... 0.09 eV/atom
data_SmZr2Mn
_chemical_formula_sum 'Sm1 Zr2 Mn1'
_space_group_name_H-M_alt 'P 1'
_space_group_IT_number 1
_cell_length_a 3.250
_cell_length_b 3.250
_cell_length_c 8.355
_cell_angle_alpha 90.00
_cell_angle_beta 90.00
_cell_angle_gamma 90.00
loop_
_space_group_symop_operation_xyz
'x,y,z'
loop_
_atom_site_label
_atom_site_type_symbol
_atom_site_fract_x
_atom_site_fract_y
_atom_site_fract_z
Sm1 Sm 0.500 0.500 0.500
Zr1 Zr 0.000 0.000 0.181
Zr2 Zr 0.000 0.000 0.819
Mn1 Mn 0.500 0.500 0.000


We obtain theoretical density values of 9.48, 9.36, 5.71, 11.39, 10.61, 5.01, 6.26, 7.29 g/cm3 for the records listed above, in that order.